# PBE-GGA Tb5Y, optimized geometry
data_Tb5Y
_cell_length_a 5.0364
_cell_length_b 15.1220
_cell_length_c 5.0381
_cell_angle_alpha 90.00
_cell_angle_beta 90.00
_cell_angle_gamma 90.00
_symmetry_space_group_name_H-M 'C m m m'
_symmetry_Int_Tables_number 65
_symmetry_space_group_name_Hall '-C 2 2'
loop_
_atom_site_label
_atom_site_type_symbol
_atom_site_fract_x
_atom_site_fract_y
_atom_site_fract_z
Tb1 Tb 0.0000 0.0000 0.0000
Tb2 Tb 0.0000 0.1669 0.5000
Tb3 Tb 0.0000 0.3329 0.0000
Y1 Y 0.0000 0.5000 0.5000
# Calculated density = 7647 kg/m3
# ΔE_f = 0.02 eV per atom
# Final energy = -4.92 eV per atom
# Magnetization = 0.00 μB per formula unit